[1]
Tb3Dy5 | PBE | relaxed

Cell and atoms, written as CIF:
```
data_Tb3Dy5
_chemical_formula_sum 'Tb3 Dy5'
_symmetry_space_group_name_H-M 'P m m 2'
_symmetry_Int_Tables_number 25
_cell_length_a 3.624
_cell_length_b 5.627
_cell_length_c 12.539
_cell_angle_alpha 90.00
_cell_angle_beta 90.00
_cell_angle_gamma 90.00
loop_
_symmetry_equiv_pos_as_xyz
'x,y,z'
'-x,-y,z'
'-x,y,z'
'x,-y,z'
loop_
_atom_site_label
_atom_site_fract_x
_atom_site_fract_y
_atom_site_fract_z
Tb1 0.000 0.000 0.000
Tb2 0.000 0.500 0.168
Tb3 0.500 0.000 0.251
Dy1 0.000 0.000 0.501
Dy2 0.000 0.500 0.668
Dy3 0.500 0.000 0.750
Dy4 0.500 0.500 0.419
Dy5 0.500 0.500 0.917
```

Output
Formation energy in eV per atom: 0.0098

[2]
HfBi2Mo | PBE | relaxed

Cell and atoms, written as CIF:
```
data_HfBi2Mo
_chemical_formula_sum 'Hf4 Bi8 Mo4'
_symmetry_space_group_name_H-M 'F m -3 m'
_symmetry_Int_Tables_number 225
_symmetry_space_group_name_Hall '-F 4 2 3'
_cell_length_a 7.066
_cell_length_b 7.066
_cell_length_c 7.066
_cell_angle_alpha 90.00
_cell_angle_beta 90.00
_cell_angle_gamma 90.00
loop_
_atom_site_label
_atom_site_fract_x
_atom_site_fract_y
_atom_site_fract_z
Hf1 0.000 0.000 0.000
Bi1 0.250 0.250 0.250
Mo1 0.000 0.000 0.500
```

Output
Formation energy in eV per atom: 0.3412
Energy above the most stable polymorph in this dataset in eV per atom: 0.0000